(1)
## Ho2BeOs (PBE-GGA)

Data for a relaxed structure of Ho2BeOs.

* calculated density: 9.4 g/cm³
* E_form: 0.7501 eV per atom

Lattice parameters (Å, degrees): 3.2810 3.2810 30.1714 90.00 90.00 120.00
Space group R-3m (No. 166, hexagonal axes)
One atom of each set of equivalent atoms:
1 Ho 0.0000 0.0000 0.0975 x6
2 Be 0.0000 0.0000 0.0000 x3
3 Os 0.0000 0.0000 0.5000 x3

***

(2)
## Mn2AlHPt (PBE-GGA)

Data for a relaxed structure of Mn2AlHPt.

* calculated density: 9.6 g/cm³
* total energy: -6.596 eV/atom

Lattice parameters (Å, degrees): 3.813 3.813 3.957 90.00 90.00 90.00
Space group P4/mmm (No. 123)
One atom of each set of equivalent atoms:
1 Mn 0.000 0.500 0.000 x2
2 Al 0.000 0.000 0.500 x1
3 H 0.500 0.500 0.000 x1
4 Pt 0.500 0.500 0.500 x1

***

(3)
## Ba2Ag2HgH6 (PBE-GGA)

Data for a relaxed structure of Ba2Ag2HgH6.

* calculated density: 5.9 g/cm³
* total energy: -2.910 eV/atom

Lattice parameters (Å, degrees): 10.586 5.504 7.568 90.00 116.84 90.00
Space group C2/m (No. 12)
One atom of each set of equivalent atoms:
1 Ba 0.206 0.000 0.227 x4
2 Ag 0.014 0.500 0.206 x4
3 Hg 0.000 0.000 0.500 x2
4 H 0.081 0.223 0.874 x8
5 H 0.202 0.500 0.364 x4

***

(4)
## Pm2PrDyH (PBE-GGA)

Data for a relaxed structure of Pm2PrDyH.

* calculated density: 7.4 g/cm³
* total energy: -4.622 eV/atom

Lattice parameters (Å, degrees): 5.127 5.127 5.096 90.00 90.00 90.00
Space group P4/mmm (No. 123)
One atom of each set of equivalent atoms:
1 Pm 0.000 0.500 0.000 x2
2 Pr 0.000 0.000 0.500 x1
3 Dy 0.500 0.500 0.500 x1
4 H 0.500 0.500 0.000 x1

***

(5)
## CeHoS3 (PBE-GGA)

Data for a relaxed structure of CeHoS3.

* ΔE_f (raw): -2.050 eV/atom
* calculated density: 6.0 g/cm³

Lattice parameters (Å, degrees): 7.377 3.974 15.244 90.00 90.00 90.00
Space group Pnma (No. 62)
One atom of each set of equivalent atoms:
1 Ce 0.139 0.250 0.203 x4
2 Ho 0.233 0.750 0.456 x4
3 S 0.012 0.250 0.395 x4
4 S 0.125 0.750 0.063 x4
5 S 0.150 0.250 0.783 x4

***

(6)
## TbDyGe2 (PBE-GGA)

Data for a relaxed structure of TbDyGe2.

* calculated density: 8.4 g/cm³
* E_form: -0.8746 eV per atom

Lattice parameters (Å, degrees): 3.977 4.297 10.754 90.00 90.00 90.00
Space group Amm2 (No. 38)
One atom of each set of equivalent atoms:
1 Tb 0.000 0.000 0.000 x2
2 Dy 0.500 0.000 0.724 x2
3 Ge 0.000 0.000 0.277 x2
4 Ge 0.500 0.000 0.447 x2

***

(7)
## MnCo4Re (PBE-GGA)

Data for a relaxed structure of MnCo4Re.

* calculated density: 11.4 g/cm³
* E_form: 0.1187 eV per atom

Lattice parameters (Å, degrees): 6.530 6.530 6.530 90.00 90.00 90.00
Space group F-43m (No. 216)
One atom of each set of equivalent atoms:
1 Mn 0.000 0.000 0.000 x4
2 Co 0.125 0.125 0.375 x16
3 Re 0.250 0.250 0.750 x4

***

(8)
## NaAg4 (PBE-GGA)

Data for a relaxed structure of NaAg4.

* calculated density: 6.3 g/cm³
* E_form: 0.1908 eV per atom

Lattice parameters (Å, degrees): 5.102 5.102 9.163 90.00 90.00 90.00
Space group I4/mmm (No. 139)
One atom of each set of equivalent atoms:
1 Na 0.000 0.000 0.000 x2
2 Ag 0.000 0.000 0.354 x4
3 Ag 0.000 0.500 0.250 x4

***

(9)
## TbPm2HgO (PBE-GGA)

Data for a relaxed structure of TbPm2HgO.

* ΔE_f (raw): -1.364 eV/atom
* calculated density: 9.5 g/cm³

Lattice parameters (Å, degrees): 4.920 4.920 4.790 90.00 90.00 90.00
Space group P4/mmm (No. 123)
One atom of each set of equivalent atoms:
1 Tb 0.000 0.000 0.000 x1
2 Pm 0.000 0.500 0.500 x2
3 Hg 0.500 0.500 0.000 x1
4 O 0.000 0.000 0.500 x1

***

(10)
## CsSiTc3 (PBE-GGA)

Data for a relaxed structure of CsSiTc3.

* ΔE_f (raw): 1.443 eV/atom
* calculated density: 7.2 g/cm³

Lattice parameters (Å, degrees): 4.717 4.717 4.717 90.00 90.00 90.00
Space group Pm-3m (No. 221)
One atom of each set of equivalent atoms:
1 Cs 0.000 0.000 0.000 x1
2 Si 0.500 0.500 0.500 x1
3 Tc 0.000 0.500 0.500 x3

***

(11)
## Al8TcPt2 (PBE-GGA)

Data for a relaxed structure of Al8TcPt2.

* calculated density: 6.8 g/cm³
* E_form: -0.5675 eV per atom

Lattice parameters (Å, degrees): 4.012 7.267 11.722 90.00 90.00 90.00
Space group Immm (No. 71)
One atom of each set of equivalent atoms:
1 Al 0.000 0.000 0.147 x4
2 Al 0.000 0.230 0.341 x8
3 Al 0.000 0.293 0.000 x4
4 Tc 0.000 0.500 0.500 x2
5 Pt 0.000 0.500 0.184 x4

***

(12)
## TcAsC3 (PBE-GGA)

Data for a relaxed structure of TcAsC3.

* calculated density: 5.2 g/cm³
* E_form: 2.1403 eV per atom

Lattice parameters (Å, degrees): 4.045 4.045 4.045 90.00 90.00 90.00
Space group Pm-3m (No. 221)
One atom of each set of equivalent atoms:
1 Tc 0.000 0.000 0.000 x1
2 As 0.500 0.500 0.500 x1
3 C 0.000 0.000 0.500 x3

***

What did the twelfth record say?
## TcAsC3 (PBE-GGA)

Data for a relaxed structure of TcAsC3.

* calculated density: 5.2 g/cm³
* E_form: 2.1403 eV per atom

Lattice parameters (Å, degrees): 4.045 4.045 4.045 90.00 90.00 90.00
Space group Pm-3m (No. 221)
One atom of each set of equivalent atoms:
1 Tc 0.000 0.000 0.000 x1
2 As 0.500 0.500 0.500 x1
3 C 0.000 0.000 0.500 x3